Entry from Alexandria via LeMat-Bulk: crystalline InRuSe2 at its relaxed geometry (PBE-GGA).

Values from the calculation:
spin magnetization: 2.0 μB per formula unit
formation energy from raw total energies: 0.40 eV per atom
E: -4.346 eV per atom

a b c (Å): 3.8206 3.8206 24.1461
angles (deg): 90.00 90.00 120.00
With the nearest neighbours (Å) after each atom.
Element x y z (fractional)
In (0.0000, 0.0000, 0.0000)  6 Se 2.75
In (0.3333, 0.6667, 0.6667)  6 Se 2.75
In (0.6667, 0.3333, 0.3333)  6 Se 2.75
Ru (0.0000, 0.0000, 0.5000)  2 Se 2.38
Ru (0.3333, 0.6667, 0.1667)  2 Se 2.38
Ru (0.6667, 0.3333, 0.8333)  2 Se 2.38
Se (0.0000, 0.0000, 0.4014)  1 Ru 2.38
Se (0.0000, 0.0000, 0.5986)  1 Ru 2.38
Se (0.3333, 0.6667, 0.0681)  1 Ru 2.38
Se (0.3333, 0.6667, 0.2653)  1 Ru 2.38
Se (0.6667, 0.3333, 0.7347)  1 Ru 2.38
Se (0.6667, 0.3333, 0.9319)  1 Ru 2.38

Entry from Alexandria via LeMat-Bulk: crystalline InRuSe2 at its relaxed geometry (PBE-GGA).

Values from the calculation:
spin magnetization: 0.0 μB per formula unit
formation energy from raw total energies: 0.50 eV per atom
E: -4.243 eV per atom

a b c (Å): 4.1549 4.1549 4.4200
angles (deg): 90.00 90.00 90.00
With the nearest neighbours (Å) after each atom.
Element x y z (fractional)
In (0.0000, 0.0000, 0.0000)  4 Ru 2.94, 8 Se 3.03
Ru (0.5000, 0.5000, 0.0000)  4 In 2.94, 8 Se 3.03
Se (0.0000, 0.5000, 0.5000)  4 Se 2.94, 4 In 3.03, 4 Ru 3.03
Se (0.5000, 0.0000, 0.5000)  4 Se 2.94, 4 In 3.03, 4 Ru 3.03

Entry from Alexandria via LeMat-Bulk: crystalline InRuSe2 at its relaxed geometry (PBE-GGA).

Values from the calculation:
spin magnetization: 0.4 μB per formula unit
formation energy from raw total energies: 0.32 eV per atom
E: -4.425 eV per atom

a b c (Å): 5.3791 5.3791 5.7184
angles (deg): 90.00 90.00 90.00
With the nearest neighbours (Å) after each atom.
Element x y z (fractional)
In (0.0000, 0.0000, 0.0000)  4 Se 2.69, 2 Ru 2.86
In (0.5000, 0.5000, 0.5000)  4 Se 2.69, 2 Ru 2.86
Ru (0.0000, 0.0000, 0.5000)  4 Se 2.69, 2 In 2.86
Ru (0.5000, 0.5000, 0.0000)  4 Se 2.69, 2 In 2.86
Se (0.0000, 0.5000, 0.0000)  2 Ru 2.69, 2 In 2.69, 2 Se 2.86
Se (0.0000, 0.5000, 0.5000)  2 In 2.69, 2 Ru 2.69, 2 Se 2.86
Se (0.5000, 0.0000, 0.0000)  2 Ru 2.69, 2 In 2.69, 2 Se 2.86
Se (0.5000, 0.0000, 0.5000)  2 In 2.69, 2 Ru 2.69, 2 Se 2.86

Entry from Alexandria via LeMat-Bulk: crystalline InRuSe2 at its relaxed geometry (PBE-GGA).

Values from the calculation:
spin magnetization: 0.0 μB per formula unit
formation energy from raw total energies: -0.03 eV per atom
E: -4.777 eV per atom

a b c (Å): 3.1387 4.6561 11.5584
angles (deg): 90.00 90.00 90.00
With the nearest neighbours (Å) after each atom.
Element x y z (fractional)
In (0.0000, 0.0000, 0.0000)  4 Ru 2.81, 4 Se 3.08, 2 In 3.14
In (0.5000, 0.5000, 0.5000)  4 Ru 2.81, 4 Se 3.08, 2 In 3.14
Ru (0.0000, 0.0000, 0.5000)  4 Se 2.56, 4 In 2.81
Ru (0.5000, 0.5000, 0.0000)  4 Se 2.56, 4 In 2.81
Se (0.0000, 0.5000, 0.1745)  2 Ru 2.56
Se (0.0000, 0.5000, 0.8255)  2 Ru 2.56
Se (0.5000, 0.0000, 0.3255)  2 Ru 2.56
Se (0.5000, 0.0000, 0.6745)  2 Ru 2.56

Entry from Alexandria via LeMat-Bulk: crystalline InRuSe2 at its relaxed geometry (PBE-GGA).

Values from the calculation:
spin magnetization: 0.0 μB per formula unit
formation energy from raw total energies: 0.04 eV per atom
E: -4.703 eV per atom

a b c (Å): 3.0379 3.0379 9.1681
angles (deg): 90.00 90.00 90.00
With the nearest neighbours (Å) after each atom.
Element x y z (fractional)
In (0.0000, 0.0000, 0.0000)  4 Ru 3.04, 4 In 3.04, 4 Se 3.19
Ru (0.5000, 0.5000, 0.2340)  4 Se 2.52
Se (0.0000, 0.0000, 0.3777)  4 Ru 2.52
Se (0.5000, 0.5000, 0.7428)  4 Se 3.04, 4 In 3.19

Entry from Alexandria via LeMat-Bulk: crystalline InRuSe2 at its relaxed geometry (PBE-GGA).

Values from the calculation:
spin magnetization: 0.0 μB per formula unit
formation energy from raw total energies: -0.14 eV per atom
E: -4.889 eV per atom

a b c (Å): 4.9648 3.7169 5.4089
angles (deg): 90.00 117.01 90.00
With the nearest neighbours (Å) after each atom.
Element x y z (fractional)
In (0.0000, 0.0000, 0.0000)  2 Ru 2.70
Ru (0.0000, 0.0000, 0.5000)  4 Se 2.48, 2 In 2.70
Se (0.3703, 0.5000, 0.6588)  2 Ru 2.48, 1 Se 2.57
Se (0.6297, 0.5000, 0.3412)  2 Ru 2.48, 1 Se 2.57